[1]
First-principles (PBE) data for a relaxed structure of Dy3Zr2Cd2, as listed in the Alexandria database.

a = 4.9330 Å, b = 22.5891 Å, c = 3.2923 Å
α = 90.00°, β = 90.00°, γ = 90.00°
Last column: nearest neighbours and their distance in Å.
Space group Cmmm (No. 65)
Inequivalent atoms, fractional coordinates:
Dy: 0.0000 0.0000 0.0000 x2  4 Dy 3.29-3.36, 8 Cd 3.40
Dy: 0.0000 0.1489 0.0000 x4  3 Dy 3.29-3.36, 6 Zr 3.31-3.41, 4 Cd 3.42
Zr: 0.0000 0.2762 0.5000 x4  2 Zr 2.74
Cd: 0.0000 0.4263 0.5000 x4  3 Cd 3.29-3.33, 1 Zr 3.39, 8 Dy 3.40-3.42

crystal system: orthorhombic
E: -66.4 eV for the cell shown


[2]
First-principles (PBE) data for a relaxed structure of DyZrCd4, as listed in the Alexandria database.

a = 4.9082 Å, b = 4.9082 Å, c = 6.6268 Å
α = 90.00°, β = 90.00°, γ = 120.00°
Last column: nearest neighbours and their distance in Å.
Space group P6/mmm (No. 191)
Inequivalent atoms, fractional coordinates:
Dy: 0.0000 0.0000 0.0000 x1  2 Zr 3.31, 12 Cd 3.33
Zr: 0.0000 0.0000 0.5000 x1  12 Cd 3.24, 2 Dy 3.31
Cd: 0.3333 0.6667 0.2637 x4  4 Cd 2.83-3.13

crystal system: hexagonal
E: -17.9 eV for the cell shown


[3]
First-principles (PBE) data for a relaxed structure of DyZr2Cd6, as listed in the Alexandria database.

a = 8.5570 Å, b = 8.5570 Å, c = 9.5571 Å
α = 90.00°, β = 90.00°, γ = 120.00°
Last column: nearest neighbours and their distance in Å.
Space group R-3m (No. 166, hexagonal axes)
Inequivalent atoms, fractional coordinates:
Dy: 0.0000 0.0000 0.0000 x3  12 Cd 3.27, 2 Zr 3.32
Zr: 0.0000 0.0000 0.3473 x6  1 Zr 2.92, 6 Cd 3.20
Cd: 0.9999 0.3332 0.1667 x18  5 Cd 2.85-3.19

crystal system: trigonal
E: -85.7 eV for the cell shown


Number 1: energy relative to the elements -0.065 eV per atom. Number 2: energy relative to the elements -0.182 eV per atom. Number 3: energy relative to the elements -0.152 eV per atom.